[1]
# NaSbPbCl6

Crystalline NaSbPbCl6 at its relaxed geometry (PBE, the Alexandria database).

Structure (CIF):
```
data_NaSbPbCl6
_chemical_formula_sum 'Na2 Sb2 Pb2 Cl12'
_symmetry_space_group_name_H-M 'P -3 1 c'
_symmetry_Int_Tables_number 163
_symmetry_space_group_name_Hall '-P 3 2c'
_cell_length_a 7.0287
_cell_length_b 7.0287
_cell_length_c 12.6141
_cell_angle_alpha 90.00
_cell_angle_beta 90.00
_cell_angle_gamma 120.00
loop_
_atom_site_label
_atom_site_fract_x
_atom_site_fract_y
_atom_site_fract_z
Na1 0.3333 0.6667 0.2500
Sb1 0.3333 0.6667 0.7500
Pb1 0.0000 0.0000 0.0000
Cl1 0.0165 0.3554 0.6296
```

Its calculated total energy is -3.412 eV/atom. Its uncorrected formation energy is -1.164 eV per atom. The volume is 269.8 Å³/f.u. The total moment comes out at 0.00 μB/f.u. As for the density of states at the Fermi level: 0.00 states/eV per atom.

[2]
# Sc2TcAs

Crystalline Sc2TcAs at its relaxed geometry (PBE, the Alexandria database).

Structure (CIF):
```
data_Sc2TcAs
_chemical_formula_sum 'Sc4 Tc2 As2'
_symmetry_space_group_name_H-M 'C 1 m 1'
_symmetry_Int_Tables_number 8
_cell_length_a 10.449
_cell_length_b 3.278
_cell_length_c 4.477
_cell_angle_alpha 90.00
_cell_angle_beta 106.73
_cell_angle_gamma 90.00
loop_
_symmetry_equiv_pos_as_xyz
'x,y,z'
'x,-y,z'
'x+1/2,y+1/2,z'
'x+1/2,-y+1/2,z'
loop_
_atom_site_label
_atom_site_fract_x
_atom_site_fract_y
_atom_site_fract_z
Sc1 0.000 0.000 0.000
Sc2 0.222 0.000 0.673
Tc1 0.262 0.500 0.198
As1 0.452 0.000 0.467
```

Its calculated total energy is -7.426 eV/atom. The volume is 73.4 Å³/f.u. The value obtained for the formation energy is -506 meV/atom. The total moment comes out at 0.00 μB/f.u. As for the density of states at the Fermi level: 0.38 states/eV per atom.